1.
VASP calculation (PBE-GGA) on a relaxed structure of SrAl2P2O8F2.

CIF file:
```
data_SrAl2P2O8F2
_symmetry_space_group_name_H-M 'P 21 21 21'
_symmetry_Int_Tables_number 19
_symmetry_space_group_name_Hall 'P 2ac 2ab'
_cell_length_a 4.727
_cell_length_b 12.138
_cell_length_c 12.339
_cell_angle_alpha 90.00
_cell_angle_beta 90.00
_cell_angle_gamma 90.00
loop_
_atom_site_label
_atom_site_type_symbol
_atom_site_fract_x
_atom_site_fract_y
_atom_site_fract_z
_atom_site_occupancy
Sr1 Sr 0.248 0.005 0.264 1
Al1 Al 0.003 0.143 0.503 1
Al2 Al 0.247 0.251 0.107 1
P1 P 0.023 0.535 0.499 1
P2 P 0.246 0.259 0.717 1
O1 O 0.010 0.805 0.719 1
O2 O 0.031 0.794 0.293 1
O3 O 0.092 0.106 0.096 1
O4 O 0.097 0.604 0.602 1
O5 O 0.132 0.643 0.149 1
O6 O 0.150 0.160 0.645 1
O7 O 0.209 0.954 0.960 1
O8 O 0.223 0.528 0.953 1
F1 F 0.013 0.292 0.994 1
F2 F 0.221 0.260 0.461 1
```

Values from the calculation:
As for the formation energy from raw total energies: -2.907 eV/atom. The calculation puts the calculated total energy at -7.13 eV/atom. Its density is 3.47 g/cm3.

=====

2.
VASP calculation (PBE-GGA) on a relaxed structure of AlPdO2F.

CIF file:
```
data_AlPdO2F
_symmetry_space_group_name_H-M 'P 4/m m m'
_symmetry_Int_Tables_number 123
_symmetry_space_group_name_Hall '-P 4 2'
_cell_length_a 3.798
_cell_length_b 3.798
_cell_length_c 3.563
_cell_angle_alpha 90.00
_cell_angle_beta 90.00
_cell_angle_gamma 90.00
loop_
_atom_site_label
_atom_site_type_symbol
_atom_site_fract_x
_atom_site_fract_y
_atom_site_fract_z
_atom_site_occupancy
Al1 Al 0.000 0.000 0.000 1
Pd1 Pd 0.500 0.500 0.500 1
O1 O 0.000 0.500 0.000 1
F1 F 0.000 0.000 0.500 1
```

Values from the calculation:
As for the formation energy from raw total energies: -1.578 eV/atom. The calculation puts the calculated total energy at -5.72 eV/atom. Its density is 5.96 g/cm3.

=====

3.
VASP calculation (PBE-GGA) on a relaxed structure of Al2PdOF.

CIF file:
```
data_Al2PdOF
_symmetry_space_group_name_H-M 'P 4/m m m'
_symmetry_Int_Tables_number 123
_symmetry_space_group_name_Hall '-P 4 2'
_cell_length_a 4.751
_cell_length_b 4.751
_cell_length_c 4.045
_cell_angle_alpha 90.00
_cell_angle_beta 90.00
_cell_angle_gamma 90.00
loop_
_atom_site_label
_atom_site_type_symbol
_atom_site_fract_x
_atom_site_fract_y
_atom_site_fract_z
_atom_site_occupancy
Al1 Al 0.000 0.500 0.000 1
Pd1 Pd 0.000 0.000 0.000 1
O1 O 0.500 0.500 0.500 1
F1 F 0.000 0.000 0.500 1
```

Values from the calculation:
As for the formation energy from raw total energies: -0.126 eV/atom. The calculation puts the calculated total energy at -4.03 eV/atom. Its density is 3.55 g/cm3.

=====

4.
VASP calculation (PBE-GGA) on a relaxed structure of AlPdO2F.

CIF file:
```
data_AlPdO2F
_symmetry_space_group_name_H-M 'P 4/m m m'
_symmetry_Int_Tables_number 123
_symmetry_space_group_name_Hall '-P 4 2'
_cell_length_a 4.024
_cell_length_b 4.024
_cell_length_c 4.077
_cell_angle_alpha 90.00
_cell_angle_beta 90.00
_cell_angle_gamma 90.00
loop_
_atom_site_label
_atom_site_type_symbol
_atom_site_fract_x
_atom_site_fract_y
_atom_site_fract_z
_atom_site_occupancy
Al1 Al 0.000 0.000 0.000 1
Pd1 Pd 0.500 0.500 0.500 1
O1 O 0.000 0.500 0.500 1
F1 F 0.500 0.500 0.000 1
```

Values from the calculation:
As for the formation energy from raw total energies: -0.419 eV/atom. The calculation puts the calculated total energy at -4.56 eV/atom. Its density is 4.64 g/cm3.

=====

5.
VASP calculation (PBE-GGA) on a relaxed structure of AlPtOF2.

CIF file:
```
data_AlPtOF2
_symmetry_space_group_name_H-M 'P 4/m m m'
_symmetry_Int_Tables_number 123
_symmetry_space_group_name_Hall '-P 4 2'
_cell_length_a 4.482
_cell_length_b 4.482
_cell_length_c 3.853
_cell_angle_alpha 90.00
_cell_angle_beta 90.00
_cell_angle_gamma 90.00
loop_
_atom_site_label
_atom_site_type_symbol
_atom_site_fract_x
_atom_site_fract_y
_atom_site_fract_z
_atom_site_occupancy
Al1 Al 0.000 0.000 0.000 1
Pt1 Pt 0.500 0.500 0.500 1
O1 O 0.500 0.500 0.000 1
F1 F 0.000 0.500 0.500 1
```

Values from the calculation:
As for the formation energy from raw total energies: -0.612 eV/atom. The calculation puts the calculated total energy at -4.31 eV/atom. The energy above the most stable polymorph in this dataset is 0.902 eV per atom. Its density is 5.92 g/cm3.

=====

6.
VASP calculation (PBE-GGA) on a relaxed structure of AlPtOF2.

CIF file:
```
data_AlPtOF2
_symmetry_space_group_name_H-M 'P 4/m m m'
_symmetry_Int_Tables_number 123
_symmetry_space_group_name_Hall '-P 4 2'
_cell_length_a 3.636
_cell_length_b 3.636
_cell_length_c 4.129
_cell_angle_alpha 90.00
_cell_angle_beta 90.00
_cell_angle_gamma 90.00
loop_
_atom_site_label
_atom_site_type_symbol
_atom_site_fract_x
_atom_site_fract_y
_atom_site_fract_z
_atom_site_occupancy
Al1 Al 0.000 0.000 0.000 1
Pt1 Pt 0.500 0.500 0.500 1
O1 O 0.000 0.000 0.500 1
F1 F 0.000 0.500 0.000 1
```

Values from the calculation:
As for the formation energy from raw total energies: -1.514 eV/atom. The calculation puts the calculated total energy at -5.21 eV/atom. The energy above the most stable polymorph in this dataset is 0.000 eV per atom. Its density is 8.40 g/cm3.

=====

7.
VASP calculation (PBE-GGA) on a relaxed structure of RbAlO2F.

CIF file:
```
data_RbAlO2F
_symmetry_space_group_name_H-M 'P 4/m m m'
_symmetry_Int_Tables_number 123
_symmetry_space_group_name_Hall '-P 4 2'
_cell_length_a 3.757
_cell_length_b 3.757
_cell_length_c 4.480
_cell_angle_alpha 90.00
_cell_angle_beta 90.00
_cell_angle_gamma 90.00
loop_
_atom_site_label
_atom_site_type_symbol
_atom_site_fract_x
_atom_site_fract_y
_atom_site_fract_z
_atom_site_occupancy
Rb1 Rb 0.000 0.000 0.000 1
Al1 Al 0.500 0.500 0.500 1
O1 O 0.000 0.500 0.500 1
F1 F 0.500 0.500 0.000 1
```

Values from the calculation:
As for the formation energy from raw total energies: -2.204 eV/atom. The calculation puts the calculated total energy at -5.50 eV/atom. Its density is 4.29 g/cm3.

=====

8.
VASP calculation (PBE-GGA) on a relaxed structure of RbAlOF2.

CIF file:
```
data_RbAlOF2
_symmetry_space_group_name_H-M 'P 4/m m m'
_symmetry_Int_Tables_number 123
_symmetry_space_group_name_Hall '-P 4 2'
_cell_length_a 4.213
_cell_length_b 4.213
_cell_length_c 3.560
_cell_angle_alpha 90.00
_cell_angle_beta 90.00
_cell_angle_gamma 90.00
loop_
_atom_site_label
_atom_site_type_symbol
_atom_site_fract_x
_atom_site_fract_y
_atom_site_fract_z
_atom_site_occupancy
Rb1 Rb 0.000 0.000 0.000 1
Al1 Al 0.500 0.500 0.500 1
O1 O 0.500 0.500 0.000 1
F1 F 0.000 0.500 0.500 1
```

Values from the calculation:
As for the formation energy from raw total energies: -2.800 eV/atom. The calculation puts the calculated total energy at -5.48 eV/atom. Its density is 4.37 g/cm3.

=====

9.
VASP calculation (PBE-GGA) on a relaxed structure of Rb2AlOF6.

CIF file:
```
data_Rb2AlOF6
_symmetry_space_group_name_H-M 'I 4/m m m'
_symmetry_Int_Tables_number 139
_symmetry_space_group_name_Hall '-I 4 2'
_cell_length_a 5.926
_cell_length_b 5.926
_cell_length_c 8.535
_cell_angle_alpha 90.00
_cell_angle_beta 90.00
_cell_angle_gamma 90.00
loop_
_atom_site_label
_atom_site_type_symbol
_atom_site_fract_x
_atom_site_fract_y
_atom_site_fract_z
_atom_site_occupancy
Rb1 Rb 0.000 0.500 0.250 1
Al1 Al 0.000 0.000 0.000 1
O1 O 0.000 0.000 0.500 1
F1 F 0.000 0.000 0.215 1
F2 F 0.220 0.220 0.000 1
```

Values from the calculation:
As for the formation energy from raw total energies: -2.358 eV/atom. The calculation puts the calculated total energy at -4.54 eV/atom. Its density is 3.63 g/cm3.

=====

10.
VASP calculation (PBE-GGA) on a relaxed structure of RbAlO2F.

CIF file:
```
data_RbAlO2F
_symmetry_space_group_name_H-M 'P 4/m m m'
_symmetry_Int_Tables_number 123
_symmetry_space_group_name_Hall '-P 4 2'
_cell_length_a 4.393
_cell_length_b 4.393
_cell_length_c 4.979
_cell_angle_alpha 90.00
_cell_angle_beta 90.00
_cell_angle_gamma 90.00
loop_
_atom_site_label
_atom_site_type_symbol
_atom_site_fract_x
_atom_site_fract_y
_atom_site_fract_z
_atom_site_occupancy
Rb1 Rb 0.000 0.000 0.000 1
Al1 Al 0.500 0.500 0.500 1
O1 O 0.000 0.500 0.000 1
F1 F 0.000 0.000 0.500 1
```

Values from the calculation:
As for the formation energy from raw total energies: 0.258 eV/atom. The calculation puts the calculated total energy at -3.04 eV/atom. Its density is 2.82 g/cm3.